Entry 1:
A plane-wave DFT calculation with PBE-GGA was carried out for a relaxed structure of HgAs2Os.

```
HgAs2Os
1.0
-5.224 1.807 -2.967
-1.459 -1.147 -5.993
1.361 -1.819 5.848
As Os Hg
2 1 1
Direct
0.066 0.066 0.000
0.434 0.434 0.000
0.250 0.750 0.500
0.750 0.250 0.500
```

DOS at the Fermi energy   0.582 states/eV/atom
Space-group type   Immm (71)
Energy of formation   0.35 eV/atom
Volume   80 Å³ per cell
Spin magnetization   0.00 μB/cell
Crystal system   orthorhombic



Entry 2:
A plane-wave DFT calculation with PBE-GGA was carried out for a relaxed structure of HgAs2Os.

```
HgAs2Os
1.0
5.928 0.000 0.000
0.000 5.928 0.000
2.964 2.964 5.781
As Os Hg
4 2 2
Direct
0.565 0.125 0.250
0.185 0.625 0.250
0.375 0.435 0.750
0.875 0.815 0.750
0.500 0.500 0.000
0.250 0.750 0.500
0.000 0.000 0.000
0.750 0.250 0.500
```

DOS at the Fermi energy   0.468 states/eV/atom
Space-group type   I-42d (122)
Energy of formation   0.34 eV/atom
Volume   203 Å³ per cell
Spin magnetization   0.00 μB/cell
Crystal system   tetragonal



Entry 3:
A plane-wave DFT calculation with PBE-GGA was carried out for a relaxed structure of HgAs2Os.

```
HgAs2Os
1.0
3.107 0.000 0.000
0.000 3.106 0.000
0.000 0.000 8.677
As Os Hg
2 1 1
Direct
0.000 0.000 0.820
0.500 0.500 0.232
0.500 0.500 0.958
0.000 0.000 0.489
```

DOS at the Fermi energy   0.346 states/eV/atom
Space-group type   P4mm (99)
Energy of formation   0.29 eV/atom
Volume   84 Å³ per cell
Spin magnetization   0.00 μB/cell
Crystal system   tetragonal



Entry 4:
A plane-wave DFT calculation with PBE-GGA was carried out for a relaxed structure of Hg2AsOs.

```
Hg2AsOs
1.0
-1.408 -1.937 4.889
-1.410 -5.250 0.286
4.112 2.895 -2.086
As Os Hg
1 1 2
Direct
0.750 0.250 0.500
0.250 0.750 0.500
0.000 0.000 0.000
0.500 0.500 0.000
```

DOS at the Fermi energy   0.781 states/eV/atom
Space-group type   I4/mmm (139)
Energy of formation   0.87 eV/atom
Volume   75 Å³ per cell
Spin magnetization   0.00 μB/cell
Crystal system   tetragonal